A plane-wave DFT calculation with GGA-PBE was carried out for a relaxed structure of Li3Hf3MnS8.

Unit cell a=7.4544 b=7.4544 c=7.4544 alpha=58.20 beta=58.20 gamma=58.20
Last column: nearest neighbours and their distance in Å.
Atoms (fractional coordinates):
Li: 0.0000 0.5000 0.5000  6 S 2.62-2.65
Li: 0.5000 0.0000 0.5000  6 S 2.62-2.65
Li: 0.5000 0.5000 0.0000  6 S 2.62-2.65
Hf: 0.0000 0.0000 0.5000  6 S 2.55-2.58
Hf: 0.0000 0.5000 0.0000  6 S 2.55-2.58
Hf: 0.5000 0.0000 0.0000  6 S 2.55-2.58
Mn: 0.5000 0.5000 0.5000  6 S 2.57
S: 0.2435 0.7469 0.7469  2 Hf 2.55, 1 Mn 2.57, 2 Li 2.65
S: 0.2485 0.2485 0.2485  3 Hf 2.58, 3 Li 2.62
S: 0.2531 0.2531 0.7565  2 Hf 2.55, 1 Mn 2.57, 2 Li 2.65
S: 0.2531 0.7565 0.2531  2 Hf 2.55, 1 Mn 2.57, 2 Li 2.65
S: 0.7469 0.2435 0.7469  2 Hf 2.55, 1 Mn 2.57, 2 Li 2.65
S: 0.7469 0.7469 0.2435  2 Hf 2.55, 1 Mn 2.57, 2 Li 2.65
S: 0.7515 0.7515 0.7515  3 Hf 2.58, 3 Li 2.62
S: 0.7565 0.2531 0.2531  2 Hf 2.55, 1 Mn 2.57, 2 Li 2.65

Output
- Uncorrected formation energy: -1.38 eV/atom
- Total DFT energy (no corrections): -6.57 eV per atom

***

A plane-wave DFT calculation with GGA-PBE was carried out for a relaxed structure of Li4Hf3MnS8.

Unit cell a=7.4345 b=7.4345 c=7.4345 alpha=56.64 beta=56.64 gamma=56.64
Last column: nearest neighbours and their distance in Å.
Atoms (fractional coordinates):
Li: 0.0000 0.0000 0.0000  6 S 2.68
Li: 0.0000 0.5000 0.5000  6 S 2.57
Li: 0.5000 0.0000 0.5000  6 S 2.57
Li: 0.5000 0.5000 0.0000  6 S 2.57
Hf: 0.0000 0.0000 0.5000  6 S 2.56
Hf: 0.0000 0.5000 0.0000  6 S 2.56
Hf: 0.5000 0.0000 0.0000  6 S 2.56
Mn: 0.5000 0.5000 0.5000  6 S 2.44
S: 0.2495 0.2495 0.2495  3 Hf 2.56, 3 Li 2.57
S: 0.2618 0.2618 0.7384  1 Mn 2.44, 2 Hf 2.56, 3 Li 2.57-2.68
S: 0.2618 0.7384 0.2618  1 Mn 2.44, 2 Hf 2.56, 3 Li 2.57-2.68
S: 0.2616 0.7382 0.7382  1 Mn 2.44, 2 Hf 2.56, 3 Li 2.57-2.68
S: 0.7384 0.2618 0.2618  1 Mn 2.44, 2 Hf 2.56, 3 Li 2.57-2.68
S: 0.7382 0.2616 0.7382  1 Mn 2.44, 2 Hf 2.56, 3 Li 2.57-2.68
S: 0.7382 0.7382 0.2616  1 Mn 2.44, 2 Hf 2.56, 3 Li 2.57-2.68
S: 0.7505 0.7505 0.7505  3 Hf 2.56, 3 Li 2.57

Output
- Uncorrected formation energy: -1.32 eV/atom
- Total DFT energy (no corrections): -6.30 eV per atom

***

A plane-wave DFT calculation with GGA-PBE was carried out for a relaxed structure of Li2HfMnS.

Unit cell a=5.2223 b=5.2223 c=4.5027 alpha=90.00 beta=90.00 gamma=90.00
Last column: nearest neighbours and their distance in Å.
Atoms (fractional coordinates):
Li: 0.0000 0.5000 0.0000  2 Hf 2.61
Li: 0.5000 0.0000 0.0000  2 Hf 2.61
Hf: 0.0000 0.0000 0.0000  2 Mn 2.25
Mn: 0.0000 0.0000 0.5000  2 Hf 2.25
S: 0.5000 0.5000 0.5000  8 Li 3.45, 4 Mn 3.69

Output
- Uncorrected formation energy: 1.22 eV/atom
- Total DFT energy (no corrections): -4.20 eV per atom

***

A plane-wave DFT calculation with GGA-PBE was carried out for a relaxed structure of Li2HfMnS4.

Unit cell a=6.3547 b=3.6585 c=6.4402 alpha=90.00 beta=109.38 gamma=90.00
Last column: nearest neighbours and their distance in Å.
Atoms (fractional coordinates):
Li: 0.0000 0.0000 0.0000  6 S 2.59-2.65
Li: 0.5000 0.5000 0.0000  6 S 2.64-2.68
Hf: 0.0000 0.5000 0.5000  6 S 2.54-2.56
Mn: 0.5000 0.0000 0.5000  6 S 2.55-2.63
S: 0.2407 0.0000 0.7444  2 Hf 2.56, 3 Li 2.59-2.64, 1 Mn 2.63
S: 0.2528 0.5000 0.2662  1 Hf 2.54, 2 Mn 2.55, 3 Li 2.65-2.68
S: 0.7472 0.5000 0.7338  1 Hf 2.54, 2 Mn 2.55, 3 Li 2.65-2.68
S: 0.7593 0.0000 0.2556  2 Hf 2.56, 3 Li 2.59-2.64, 1 Mn 2.63

Output
- Uncorrected formation energy: -1.25 eV/atom
- Total DFT energy (no corrections): -6.19 eV per atom

***

A plane-wave DFT calculation with GGA-PBE was carried out for a relaxed structure of LiHfScMn.

Unit cell a=4.5377 b=4.5377 c=4.5377 alpha=60.00 beta=60.00 gamma=60.00
Last column: nearest neighbours and their distance in Å.
Atoms (fractional coordinates):
Li: 0.0000 0.0000 0.0000  4 Hf 2.78, 4 Sc 2.78
Hf: 0.2500 0.2500 0.2500  4 Mn 2.78, 4 Li 2.78
Sc: 0.7500 0.7500 0.7500  4 Mn 2.78, 4 Li 2.78
Mn: 0.5000 0.5000 0.5000  4 Hf 2.78, 4 Sc 2.78

Output
- Energy relative to the elements: 0.0992 eV per atom
- Total DFT energy (no corrections): -6.74 eV per atom

***

A plane-wave DFT calculation with GGA-PBE was carried out for a relaxed structure of Li3Hf3MnSe8.

Unit cell a=7.8410 b=7.8410 c=7.8410 alpha=57.74 beta=57.74 gamma=57.74
Last column: nearest neighbours and their distance in Å.
Atoms (fractional coordinates):
Li: 0.0000 0.5000 0.5000  6 Se 2.74-2.77
Li: 0.5000 0.0000 0.5000  6 Se 2.74-2.77
Li: 0.5000 0.5000 0.0000  6 Se 2.74-2.77
Hf: 0.0000 0.0000 0.5000  6 Se 2.68-2.71
Hf: 0.0000 0.5000 0.0000  6 Se 2.68-2.71
Hf: 0.5000 0.0000 0.0000  6 Se 2.68-2.71
Mn: 0.5000 0.5000 0.5000  6 Se 2.70
Se: 0.2444 0.7478 0.7478  2 Hf 2.68, 1 Mn 2.70, 2 Li 2.77
Se: 0.2491 0.2491 0.2491  3 Hf 2.71, 3 Li 2.74
Se: 0.2522 0.2522 0.7556  2 Hf 2.68, 1 Mn 2.70, 2 Li 2.77
Se: 0.2522 0.7556 0.2522  2 Hf 2.68, 1 Mn 2.70, 2 Li 2.77
Se: 0.7478 0.2444 0.7478  2 Hf 2.68, 1 Mn 2.70, 2 Li 2.77
Se: 0.7478 0.7478 0.2444  2 Hf 2.68, 1 Mn 2.70, 2 Li 2.77
Se: 0.7509 0.7509 0.7509  3 Hf 2.71, 3 Li 2.74
Se: 0.7556 0.2522 0.2522  2 Hf 2.68, 1 Mn 2.70, 2 Li 2.77

Output
- Uncorrected formation energy: -1.18 eV/atom
- Total DFT energy (no corrections): -6.02 eV per atom

***

A plane-wave DFT calculation with GGA-PBE was carried out for a relaxed structure of Li2HfMnSe4.

Unit cell a=6.6759 b=3.8214 c=6.7826 alpha=90.00 beta=109.29 gamma=90.00
Last column: nearest neighbours and their distance in Å.
Atoms (fractional coordinates):
Li: 0.0000 0.0000 0.0000  6 Se 2.73-2.78
Li: 0.5000 0.5000 0.0000  6 Se 2.76-2.81
Hf: 0.0000 0.5000 0.5000  6 Se 2.68-2.70
Mn: 0.5000 0.0000 0.5000  6 Se 2.67-2.76
Se: 0.2423 0.0000 0.7458  2 Hf 2.70, 3 Li 2.73-2.76, 1 Mn 2.76
Se: 0.2539 0.5000 0.2654  2 Mn 2.67, 1 Hf 2.68, 3 Li 2.78-2.81
Se: 0.7461 0.5000 0.7346  2 Mn 2.67, 1 Hf 2.68, 3 Li 2.78-2.81
Se: 0.7577 0.0000 0.2542  2 Hf 2.70, 3 Li 2.73-2.76, 1 Mn 2.76

Output
- Uncorrected formation energy: -1.08 eV/atom
- Total DFT energy (no corrections): -5.69 eV per atom

***

A plane-wave DFT calculation with GGA-PBE was carried out for a relaxed structure of Li2Hf2MnSe6.

Unit cell a=6.6381 b=6.6381 c=6.8576 alpha=99.10 beta=99.10 gamma=120.69
Last column: nearest neighbours and their distance in Å.
Atoms (fractional coordinates):
Li: 0.1680 0.8320 0.0000  6 Se 2.74-2.81
Li: 0.8320 0.1680 0.0000  6 Se 2.74-2.81
Hf: 0.3340 0.6660 0.5000  6 Se 2.68-2.69
Hf: 0.6660 0.3340 0.5000  6 Se 2.68-2.69
Mn: 0.0000 0.0000 0.5000  6 Se 2.68-2.74
Se: 0.0777 0.4183 0.7394  2 Hf 2.68, 1 Mn 2.74, 2 Li 2.74-2.78
Se: 0.2547 0.2547 0.2626  1 Mn 2.68, 2 Hf 2.69, 2 Li 2.81
Se: 0.4183 0.0777 0.7394  2 Hf 2.68, 1 Mn 2.74, 2 Li 2.74-2.78
Se: 0.5817 0.9223 0.2606  2 Hf 2.68, 1 Mn 2.74, 2 Li 2.74-2.78
Se: 0.7453 0.7453 0.7374  1 Mn 2.68, 2 Hf 2.69, 2 Li 2.81
Se: 0.9223 0.5817 0.2606  2 Hf 2.68, 1 Mn 2.74, 2 Li 2.74-2.78

Output
- Uncorrected formation energy: -1.16 eV/atom
- Total DFT energy (no corrections): -6.05 eV per atom

***

A plane-wave DFT calculation with GGA-PBE was carried out for a relaxed structure of LiHfMnSe4.

Unit cell a=7.7079 b=7.7079 c=7.7079 alpha=119.61 beta=119.57 gamma=90.71
Last column: nearest neighbours and their distance in Å.
Atoms (fractional coordinates):
Li: 0.3678 0.1178 0.2500  4 Se 2.51-2.52
Li: 0.6322 0.8822 0.7500  4 Se 2.51-2.52
Hf: 0.0000 0.0000 0.5000  6 Se 2.67-2.68
Hf: 0.0000 0.5000 0.0000  6 Se 2.67-2.68
Mn: 0.0000 0.5000 0.5000  6 Se 2.60-2.64
Mn: 0.5000 0.5000 0.0000  6 Se 2.60-2.64
Se: 0.2331 0.7439 0.4892  1 Li 2.52, 1 Mn 2.64, 2 Hf 2.68
Se: 0.2453 0.2561 0.9892  1 Li 2.52, 1 Mn 2.64, 2 Hf 2.68
Se: 0.2459 0.2719 0.5260  1 Li 2.51, 2 Mn 2.60, 1 Hf 2.67
Se: 0.2459 0.7199 0.9740  1 Li 2.51, 2 Mn 2.60, 1 Hf 2.67
Se: 0.7541 0.2801 0.0260  1 Li 2.51, 2 Mn 2.60, 1 Hf 2.67
Se: 0.7541 0.7281 0.4740  1 Li 2.51, 2 Mn 2.60, 1 Hf 2.67
Se: 0.7547 0.7439 0.0108  1 Li 2.52, 1 Mn 2.64, 2 Hf 2.68
Se: 0.7669 0.2561 0.5108  1 Li 2.52, 1 Mn 2.64, 2 Hf 2.68

Output
- Uncorrected formation energy: -0.98 eV/atom
- Total DFT energy (no corrections): -5.98 eV per atom

***

A plane-wave DFT calculation with GGA-PBE was carried out for a relaxed structure of Li3HfMn2Se6.

Unit cell a=6.5728 b=6.5728 c=6.7695 alpha=99.27 beta=99.27 gamma=120.07
Last column: nearest neighbours and their distance in Å.
Atoms (fractional coordinates):
Li: 0.0000 0.0000 0.0000  6 Se 2.75-2.77
Li: 0.3333 0.6667 0.0000  6 Se 2.75-2.77
Li: 0.6667 0.3333 0.0000  6 Se 2.75-2.77
Hf: 0.5000 0.5000 0.5000  6 Se 2.68
Mn: 0.1668 0.8332 0.5000  6 Se 2.66-2.67
Mn: 0.8332 0.1668 0.5000  6 Se 2.66-2.67
Se: 0.0851 0.4204 0.2619  2 Mn 2.66, 1 Hf 2.68, 3 Li 2.75-2.77
Se: 0.2438 0.2438 0.7381  2 Mn 2.67, 1 Hf 2.68, 3 Li 2.75-2.77
Se: 0.4204 0.0851 0.2619  2 Mn 2.66, 1 Hf 2.68, 3 Li 2.75-2.77
Se: 0.5796 0.9149 0.7381  2 Mn 2.66, 1 Hf 2.68, 3 Li 2.75-2.77
Se: 0.7562 0.7562 0.2619  2 Mn 2.67, 1 Hf 2.68, 3 Li 2.75-2.77
Se: 0.9149 0.5796 0.7381  2 Mn 2.66, 1 Hf 2.68, 3 Li 2.75-2.77

Output
- Uncorrected formation energy: -0.97 eV/atom
- Total DFT energy (no corrections): -5.55 eV per atom

***

A plane-wave DFT calculation with GGA-PBE was carried out for a relaxed structure of LiHfMnSn.

Unit cell a=4.5420 b=4.5420 c=4.5420 alpha=60.00 beta=60.00 gamma=60.00
Last column: nearest neighbours and their distance in Å.
Atoms (fractional coordinates):
Li: 0.0000 0.0000 0.0000  4 Hf 2.78, 4 Sn 2.78
Hf: 0.7500 0.7500 0.7500  4 Mn 2.78, 4 Li 2.78
Mn: 0.5000 0.5000 0.5000  4 Hf 2.78, 4 Sn 2.78
Sn: 0.2500 0.2500 0.2500  4 Mn 2.78, 4 Li 2.78

Output
- Energy relative to the elements: -0.1395 eV per atom
- Total DFT energy (no corrections): -6.40 eV per atom

***

A plane-wave DFT calculation with GGA-PBE was carried out for a relaxed structure of SrLiHf2Mn.

Unit cell a=4.7449 b=4.7449 c=5.1401 alpha=90.00 beta=90.00 gamma=90.00
Last column: nearest neighbours and their distance in Å.
Atoms (fractional coordinates):
Sr: 0.0000 0.0000 0.0000  2 Li 2.57
Li: 0.0000 0.0000 0.5000  4 Hf 2.37, 2 Sr 2.57
Hf: 0.0000 0.5000 0.5000  2 Li 2.37
Hf: 0.5000 0.0000 0.5000  2 Li 2.37
Mn: 0.5000 0.5000 0.0000  4 Sr 3.36, 8 Hf 3.50

Output
- Energy relative to the elements: 1.5650 eV per atom
- Total DFT energy (no corrections): -4.97 eV per atom